Record 1
Here is a relaxed Zr3Zn crystal from the Alexandria database. Energies are from GGA-PBEsol.

a b c (Å): 4.2240 4.2240 5.3307
angles (deg): 113.34 113.34 90.00
Last column: nearest neighbours and their distance in Å.
Fractional coordinates of all 4 atoms:
1 Zn 0.0000 0.0000 0.0000  12 Zr 2.99-3.06
2 Zr 0.2500 0.7500 0.5000  8 Zr 2.99-3.06, 4 Zn 3.06
3 Zr 0.5000 0.5000 0.0000  4 Zn 2.99, 8 Zr 3.06
4 Zr 0.7500 0.2500 0.5000  8 Zr 2.99-3.06, 4 Zn 3.06

Magnetic moment in μB/f.u.: 0.0
Calculated formation energy in eV per atom: -0.14
Calculated volume in Å³ per atom: 19.7

=====

Record 2
Here is a relaxed FeTc2Ni crystal from the Alexandria database. Energies are from GGA-PBEsol.

a b c (Å): 2.5936 4.1189 4.4699
angles (deg): 90.00 90.00 90.00
Last column: nearest neighbours and their distance in Å.
Fractional coordinates of all 4 atoms:
1 Ni 0.5000 0.5000 0.2131  2 Fe 2.51, 8 Tc 2.54-2.63, 2 Ni 2.59
2 Tc 0.0000 0.0000 0.0514  4 Fe 2.52-2.65, 4 Ni 2.54, 4 Tc 2.59
3 Tc 0.0000 0.5000 0.7018  4 Ni 2.54-2.63, 4 Fe 2.55, 4 Tc 2.59
4 Fe 0.5000 0.0000 0.5336  2 Ni 2.51, 8 Tc 2.52-2.65, 2 Fe 2.59

Magnetic moment in μB/f.u.: 0.0
Calculated formation energy in eV per atom: -0.06
Excess energy over the best structure of this formula in the dataset in meV per atom: 0
Calculated volume in Å³ per atom: 11.9

=====

Record 3
Here is a relaxed Si2WCl crystal from the Alexandria database. Energies are from GGA-PBEsol.

a b c (Å): 3.0812 3.0812 7.8438
angles (deg): 78.67 78.67 60.00
Last column: nearest neighbours and their distance in Å.
Fractional coordinates of all 4 atoms:
1 Cl 0.0000 0.0000 0.0000  6 Si 2.71
2 Si 0.2441 0.2441 0.2676  3 W 2.51, 3 Cl 2.71
3 Si 0.7559 0.7559 0.7324  3 W 2.51, 3 Cl 2.71
4 W 0.5000 0.5000 0.5000  6 Si 2.51

Magnetic moment in μB/f.u.: 0.0
Excess energy over the best structure of this formula in the dataset in meV per atom: 0
ΔE_f (raw) in meV/atom: 146
Calculated volume in Å³ per atom: 15.7

=====

Record 4
Here is a relaxed BaZn3O crystal from the Alexandria database. Energies are from GGA-PBEsol.

a b c (Å): 4.6941 4.6941 4.6941
angles (deg): 90.00 90.00 90.00
Last column: nearest neighbours and their distance in Å.
Fractional coordinates of all 5 atoms:
1 Zn 0.0000 0.5000 0.0000  2 O 2.35
2 Zn 0.0000 0.0000 0.5000  2 O 2.35
3 Zn 0.5000 0.0000 0.0000  2 O 2.35
4 Ba 0.5000 0.5000 0.5000  12 Zn 3.32
5 O 0.0000 0.0000 0.0000  6 Zn 2.35

Magnetic moment in μB/f.u.: 0.0
ΔE_f (raw) in meV/atom: 60
Calculated volume in Å³ per atom: 20.7

=====

Record 5
Here is a relaxed PrMnSi2 crystal from the Alexandria database. Energies are from GGA-PBEsol.

a b c (Å): 3.9651 4.0435 8.9570
angles (deg): 76.95 90.00 90.00
Last column: nearest neighbours and their distance in Å.
Fractional coordinates of all 8 atoms:
1 Pr 0.7500 0.8979 0.2042  10 Si 3.05-3.16, 4 Mn 3.25-3.28
2 Pr 0.2500 0.1021 0.7958  10 Si 3.05-3.16, 4 Mn 3.25-3.28
3 Si 0.7500 0.6790 0.6420  4 Mn 2.34-2.37, 1 Si 2.48
4 Si 0.2500 0.3210 0.3580  4 Mn 2.34-2.37, 1 Si 2.48
5 Si 0.7500 0.5367 0.9265  3 Si 2.36-2.48
6 Si 0.2500 0.4633 0.0735  3 Si 2.36-2.48
7 Mn 0.7500 0.2499 0.5002  4 Si 2.34-2.37
8 Mn 0.2500 0.7501 0.4998  4 Si 2.34-2.37

Magnetic moment in μB/f.u.: 1.9
ΔE_f (raw) in meV/atom: -632
Calculated volume in Å³ per atom: 17.5

=====

Record 6
Here is a relaxed LaCdRh3 crystal from the Alexandria database. Energies are from GGA-PBEsol.

a b c (Å): 4.8112 4.8112 4.8112
angles (deg): 90.00 90.00 90.00
Last column: nearest neighbours and their distance in Å.
Fractional coordinates of all 5 atoms:
1 Cd 0.5000 0.5000 0.5000  12 Rh 3.40
2 Rh 0.0000 0.5000 0.0000  2 La 2.41
3 Rh 0.0000 0.0000 0.5000  2 La 2.41
4 Rh 0.5000 0.0000 0.0000  2 La 2.41
5 La 0.0000 0.0000 0.0000  6 Rh 2.41

Magnetic moment in μB/f.u.: 0.0
Calculated formation energy in eV per atom: 1.03
Calculated volume in Å³ per atom: 22.3

=====

Record 7
Here is a relaxed Cs3HgP crystal from the Alexandria database. Energies are from GGA-PBEsol.

a b c (Å): 6.8145 6.8145 6.8145
angles (deg): 90.00 90.00 90.00
Last column: nearest neighbours and their distance in Å.
Fractional coordinates of all 5 atoms:
1 Cs 0.0000 0.5000 0.0000  2 P 3.41
2 Cs 0.0000 0.0000 0.5000  2 P 3.41
3 Cs 0.5000 0.0000 0.0000  2 P 3.41
4 P 0.0000 0.0000 0.0000  6 Cs 3.41
5 Hg 0.5000 0.5000 0.5000  12 Cs 4.82

Magnetic moment in μB/f.u.: 0.6
Calculated formation energy in eV per atom: 0.02
Calculated volume in Å³ per atom: 63.3

=====

Record 8
Here is a relaxed NaCoP2HO7 crystal from the Alexandria database. Energies are from GGA-PBEsol.

a b c (Å): 6.4564 6.4902 6.6223
angles (deg): 84.58 66.64 87.70
Last column: nearest neighbours and their distance in Å.
Fractional coordinates of all 24 atoms:
1 Na 0.2951 0.6563 0.2449  6 O 2.34-2.60, 1 H 2.53
2 Na 0.6984 0.3402 0.7566  6 O 2.34-2.61, 1 H 2.53
3 Co 0.2930 0.1314 0.6077  6 O 2.03-2.20
4 Co 0.7003 0.8649 0.3939  6 O 2.03-2.20
5 P 0.1649 0.1178 0.1323  4 O 1.51-1.61
6 P 0.8283 0.8784 0.8692  4 O 1.51-1.61
7 P 0.2524 0.6314 0.7219  4 O 1.51-1.60
8 P 0.7408 0.3648 0.2796  4 O 1.51-1.60
9 H 0.4346 0.2871 0.1990  1 O 1.11
10 H 0.5585 0.7091 0.8026  1 O 1.11
11 O 0.2767 0.1959 0.2827  1 H 1.11
12 O 0.7165 0.8002 0.7189  1 H 1.11
13 O 0.3810 0.5888 0.8728  1 H 1.31
14 O 0.6123 0.4074 0.1287  1 H 1.31
15 O 0.3541 0.8204 0.5519  1 P 1.56
16 O 0.6391 0.1759 0.4498  1 P 1.56
17 O 0.3379 0.1113 0.8983  1 P 1.51
18 O 0.6554 0.8849 0.1033  1 P 1.51
19 O 0.2295 0.4490 0.6058  1 P 1.51
20 O 0.7637 0.5473 0.3958  1 P 1.51
21 O 0.0040 0.6996 0.8808  2 P 1.60-1.61
22 O 0.9893 0.2967 0.1208  2 P 1.60-1.61
23 O 0.0369 0.9208 0.2458  1 P 1.51
24 O 0.9563 0.0755 0.7558  1 P 1.51

VASP energy in eV/atom: -6.890
Magnetic moment in μB/f.u.: 3.0
Calculated volume in Å³ per atom: 10.6

=====

Record 9
Here is a relaxed LiScRh crystal from the Alexandria database. Energies are from GGA-PBEsol.

a b c (Å): 3.1324 3.1324 6.3839
angles (deg): 90.00 90.00 120.00
Last column: nearest neighbours and their distance in Å.
Fractional coordinates of all 3 atoms:
1 Li 0.0000 0.0000 0.9589  3 Rh 2.64
2 Rh 0.3333 0.6667 0.6584  3 Sc 2.52, 3 Li 2.64
3 Sc 0.6667 0.3333 0.3828  3 Rh 2.52

Magnetic moment in μB/f.u.: 0.0
Calculated formation energy in eV per atom: -0.15
Excess energy over the best structure of this formula in the dataset in meV per atom: 262
Calculated volume in Å³ per atom: 18.1

=====

Record 10
Here is a relaxed KLiTeI2 crystal from the Alexandria database. Energies are from GGA-PBEsol.

a b c (Å): 6.2171 6.4020 6.4020
angles (deg): 90.00 90.00 90.00
Last column: nearest neighbours and their distance in Å.
Fractional coordinates of all 5 atoms:
1 I 0.0000 0.0000 0.5000  2 K 3.20
2 I 0.0000 0.5000 0.0000  2 K 3.20
3 K 0.0000 0.0000 0.0000  2 Te 3.11, 4 I 3.20
4 Te 0.5000 0.0000 0.0000  2 K 3.11
5 Li 0.5000 0.5000 0.5000  8 I 4.46, 4 Te 4.53

Magnetic moment in μB/f.u.: 2.1
ΔE_f (raw) in meV/atom: -104
Calculated volume in Å³ per atom: 51.0

=====

Record 11
Here is a relaxed AlIn2Cl crystal from the Alexandria database. Energies are from GGA-PBEsol.

a b c (Å): 3.2704 3.2704 8.3925
angles (deg): 90.00 90.00 90.00
Last column: nearest neighbours and their distance in Å.
Fractional coordinates of all 4 atoms:
1 Cl 0.5000 0.5000 0.5000  8 In 3.15, 4 Cl 3.27
2 Al 0.5000 0.5000 0.0000  8 In 3.09, 4 Al 3.27
3 In 0.0000 0.0000 0.7553  4 Al 3.09, 4 Cl 3.15, 4 In 3.27
4 In 0.0000 0.0000 0.2447  4 Al 3.09, 4 Cl 3.15, 4 In 3.27

Magnetic moment in μB/f.u.: 0.0
Excess energy over the best structure of this formula in the dataset in meV per atom: 124
ΔE_f (raw) in meV/atom: -119
Calculated volume in Å³ per atom: 22.4

=====

Record 12
Here is a relaxed SrCd2H crystal from the Alexandria database. Energies are from GGA-PBEsol.

a b c (Å): 5.1822 5.1822 5.1822
angles (deg): 60.00 60.00 60.00
Last column: nearest neighbours and their distance in Å.
Fractional coordinates of all 4 atoms:
1 Sr 0.5000 0.5000 0.5000  8 Cd 3.17
2 H 0.0000 0.0000 0.0000  8 Cd 3.17
3 Cd 0.2500 0.2500 0.2500  4 Sr 3.17, 4 H 3.17
4 Cd 0.7500 0.7500 0.7500  4 H 3.17, 4 Sr 3.17

VASP energy in eV/atom: -1.486
Magnetic moment in μB/f.u.: 0.0
Calculated volume in Å³ per atom: 24.6

=====

> What is the calculated volume in the eighth record?

10.6 Å³ per atom

=====

> Among the records above, which one has the highest magnetic moment?

NaCoP2HO7